No. 1
Below is Cs2NbC after structural relaxation, with properties calculated at the PBE level. Values from VASP.

```
&SYSTEM
  ibrav = 0, nat = 4, ntyp = 3
/
ATOMIC_SPECIES
Cs 132.91 Cs.upf
Nb 92.91 Nb.upf
C 12.01 C.upf
CELL_PARAMETERS angstrom
0.0309 -3.2182 4.8131
-3.8206 1.0638 4.2184
-4.3076 -3.7337 1.0137
ATOMIC_POSITIONS angstrom
Cs -6.0730 -4.4160 7.5338
Cs -2.0243 -1.4720 2.5113
Nb -4.0487 -2.9440 5.0226
C 0.0000 0.0000 0.0000
```

Properties
The energy relative to the elements comes out at 2391 meV/atom. The electronic total energy is -2.859 eV/atom. The spin magnetization comes out at 3.000 μB/f.u.

No. 2
Below is Ho5Co2Ag after structural relaxation, with properties calculated at the PBE level. Values from VASP.

```
&SYSTEM
  ibrav = 0, nat = 16, ntyp = 3
/
ATOMIC_SPECIES
Ho 164.93 Ho.upf
Ag 107.87 Ag.upf
Co 58.93 Co.upf
CELL_PARAMETERS angstrom
6.8054 0.0000 -3.2125
-1.5165 6.6343 -3.2125
-0.1703 -0.2136 8.4538
ATOMIC_POSITIONS angstrom
Ho 0.7501 5.2091 -1.2350
Ho 2.3879 4.5287 2.2347
Ho 5.8610 3.0836 -2.3891
Ho -0.7424 3.3371 4.4179
Ho 4.3686 1.2116 3.2639
Ho 0.0000 0.0000 0.0000
Ho 3.8804 6.4008 -3.4183
Ho 2.6445 3.3171 -3.2125
Ho 2.7307 1.8920 -0.2058
Ho 1.2383 0.0199 5.4471
Ag 1.2371 1.5518 2.6207
Ag 3.8816 4.8689 -0.5918
Co 4.1248 0.9058 -2.4835
Co 0.3780 2.4113 -1.6063
Co 1.1641 5.7285 -3.9415
Co 4.9109 4.2229 -4.8188
```

Properties
The energy relative to the elements comes out at -240 meV/atom. The electronic total energy is -5.234 eV/atom. The spin magnetization comes out at 0.000 μB/f.u.

No. 3
Below is CePmRu after structural relaxation, with properties calculated at the PBE level. Values from VASP.

```
&SYSTEM
  ibrav = 0, nat = 3, ntyp = 3
/
ATOMIC_SPECIES
Ru 101.07 Ru.upf
Ce 140.12 Ce.upf
Pm 145.00 Pm.upf
CELL_PARAMETERS angstrom
-2.2560 2.3094 -1.4756
-2.4751 -0.8962 2.3814
4.2254 3.3115 2.9923
ATOMIC_POSITIONS angstrom
Ru -1.8219 1.8812 1.4600
Ce 0.1133 0.2448 0.2099
Pm 1.2029 2.5987 2.2282
```

Properties
The energy relative to the elements comes out at -164 meV/atom. The electronic total energy is -6.818 eV/atom. The excess energy over the best structure of this formula in the dataset is 5.37 kJ/mol of atoms. The spin magnetization comes out at 0.000 μB/f.u.

No. 4
Below is CaZrN3 after structural relaxation, with properties calculated at the PBE level. Values from VASP.

```
&SYSTEM
  ibrav = 0, nat = 5, ntyp = 3
/
ATOMIC_SPECIES
Zr 91.22 Zr.upf
Ca 40.08 Ca.upf
N 14.01 N.upf
CELL_PARAMETERS angstrom
-1.9457 0.3986 -3.5120
2.4490 -2.7387 -1.6676
-2.5486 -2.9360 1.0788
ATOMIC_POSITIONS angstrom
Zr -1.0227 -2.6380 -2.0504
Ca 0.0000 0.0000 0.0000
N -1.2743 -1.4680 0.5394
N 1.2245 -1.3693 -0.8338
N -0.9729 0.1993 -1.7560
```

Properties
The electronic total energy is -5.899 eV/atom. The calculation puts the uncorrected formation energy at 1.21 eV/atom. The spin magnetization comes out at 0.000 μB/f.u.

No. 5
Below is GaAg5Hg after structural relaxation, with properties calculated at the PBE level. Values from VASP.

```
&SYSTEM
  ibrav = 0, nat = 14, ntyp = 3
/
ATOMIC_SPECIES
Ag 107.87 Ag.upf
Hg 200.59 Hg.upf
Ga 69.72 Ga.upf
CELL_PARAMETERS angstrom
5.3162 0.6223 -0.7081
2.2768 4.8441 -0.7081
2.0834 1.4999 10.6825
ATOMIC_POSITIONS angstrom
Ag 7.2183 5.0607 6.2030
Ag 5.9289 4.3658 3.7864
Ag 6.0476 4.4899 0.8617
Ag 4.6574 4.8329 7.3037
Ag 3.6288 2.4765 8.4045
Ag 2.4581 1.9057 3.0632
Ag 5.0191 2.1335 1.9625
Ag 3.7475 2.6006 5.4799
Ag 7.0629 4.9875 9.1276
Ag 2.6135 1.9789 0.1386
Hg 0.0000 0.0000 0.0000
Hg 1.0417 0.7500 5.3413
Ga 3.5165 4.2206 1.9625
Ga 6.1599 2.7458 7.3037
```

Properties
The energy relative to the elements comes out at 79 meV/atom. The electronic total energy is -2.434 eV/atom. The excess energy over the best structure of this formula in the dataset is 0.99 kJ/mol of atoms. The spin magnetization comes out at 0.000 μB/f.u.

No. 6
Below is Ce12Zn3N5 after structural relaxation, with properties calculated at the PBE level. Values from VASP.

```
&SYSTEM
  ibrav = 0, nat = 80, ntyp = 3
/
ATOMIC_SPECIES
Zn 65.41 Zn.upf
N 14.01 N.upf
Ce 140.12 Ce.upf
CELL_PARAMETERS angstrom
-12.5189 -1.8663 -4.8662
1.2197 -6.3781 11.9046
2.2485 13.2609 1.7255
ATOMIC_POSITIONS angstrom
Zn -2.1341 3.7090 0.9186
Zn -6.9166 1.3075 7.8453
Zn 0.7075 9.7755 3.8777
Zn -9.7582 -4.7590 4.8862
Zn -3.3701 -1.3709 6.0469
Zn -2.3745 2.8047 8.1820
Zn 1.1888 4.1316 11.1023
Zn -5.6805 6.3875 2.7170
Zn -10.2395 0.8849 -2.3384
Zn -0.3999 7.1504 7.7336
Zn -6.6762 2.2119 0.5819
Zn -8.6507 -2.1339 1.0303
N -2.8557 8.4486 0.9574
N -5.1352 5.6973 -1.5703
N -8.5053 4.3264 4.4766
N -9.2438 5.0605 -0.2033
N -6.2595 -0.9332 -2.4331
N -0.5453 0.6902 4.2873
N -7.2692 9.4063 -0.6517
N -4.9421 5.6533 7.3969
N -6.1949 -3.4320 7.8065
N -1.7814 -4.3898 9.4156
N 0.6099 -3.1890 5.9523
N -5.6496 -4.1222 3.5192
N -4.1086 -0.6368 1.3670
N 0.1931 -0.0440 8.9672
N 0.0000 0.0000 0.0000
N -1.2670 5.4297 4.3261
N -7.7837 -0.4132 4.4378
N -4.5253 2.5083 4.3820
N 1.7341 3.4414 6.8150
N 1.1243 6.6305 0.8628
Ce -4.6873 1.6747 10.0162
Ce -8.4357 -3.3299 7.3760
Ce -5.0258 -4.0288 5.9373
Ce 2.1222 5.3561 8.3734
Ce -3.6633 6.4095 0.3195
Ce -4.0248 9.0454 2.8266
Ce -7.6138 -2.6367 3.9440
Ce -2.4201 1.5187 5.2951
Ce -5.9643 -0.7918 0.0444
Ce -7.1506 1.4016 -2.4362
Ce -4.8469 7.1453 5.6701
Ce -5.0010 3.5049 6.6237
Ce -3.0864 5.8083 8.7195
Ce -8.5603 0.6062 2.5472
Ce 2.1417 8.2052 6.1788
Ce -0.4600 1.2958 2.0867
Ce -1.4501 -3.5321 7.3248
Ce -9.2382 9.5557 -1.7996
Ce -0.4709 6.8094 10.8475
Ce -0.4904 4.4103 6.2167
Ce -0.6473 -1.5807 4.5108
Ce -7.6005 8.5487 1.4391
Ce -8.5906 3.7207 6.6772
Ce -5.7618 0.4461 5.0629
Ce -11.1729 -0.3396 0.3905
Ce -4.3634 3.3418 -1.2523
Ce -3.2888 4.5704 3.7010
Ce -9.9071 5.7755 -2.2687
Ce -6.9859 5.2855 0.0577
Ce -11.1924 -3.1887 2.5851
Ce -8.4034 6.5972 4.2531
Ce 0.8564 -0.7590 11.0326
Ce -8.5798 -1.7929 -2.0836
Ce -1.9001 3.6150 11.2001
Ce -0.6149 8.3464 1.3879
Ce 0.1876 -4.5392 10.5635
Ce -5.3873 -1.3930 8.4444
Ce -1.4369 7.6533 4.8199
Ce -6.6305 3.4978 3.4688
Ce 0.1481 5.0849 2.5667
Ce -9.7050 2.8422 0.0851
Ce -2.0648 -0.2689 8.7062
Ce 0.6543 2.1743 8.6788
Ce 0.0319 12.1228 1.9152
Ce -9.1988 -0.0684 6.1972
Ce -4.2038 -2.1288 3.0938
Ce -9.0825 -7.1062 6.8487
Ce -4.0496 1.5116 2.1402
```

Properties
The electronic total energy is -6.428 eV/atom. The calculation puts the uncorrected formation energy at -0.59 eV/atom. The spin magnetization comes out at 10.564 μB/f.u.

No. 7
Below is Cd2OsRu after structural relaxation, with properties calculated at the PBE level. Values from VASP.

```
&SYSTEM
  ibrav = 0, nat = 4, ntyp = 3
/
ATOMIC_SPECIES
Cd 112.41 Cd.upf
Os 190.23 Os.upf
Ru 101.07 Ru.upf
CELL_PARAMETERS angstrom
-0.5921 -3.8901 -1.8033
2.0307 -1.6888 2.9763
-3.3785 -0.4389 2.0561
ATOMIC_POSITIONS angstrom
Cd -0.6739 -1.0639 2.5162
Cd 0.0000 0.0000 0.0000
Os 0.7193 -2.7895 0.5865
Ru -1.9853 -2.1645 0.1264
```

Properties
The energy relative to the elements comes out at 694 meV/atom. The electronic total energy is -4.890 eV/atom. The excess energy over the best structure of this formula in the dataset is 50.42 kJ/mol of atoms. The spin magnetization comes out at 2.557 μB/f.u.

No. 8
Below is KPaInCl6 after structural relaxation, with properties calculated at the PBE level. Values from VASP.

```
&SYSTEM
  ibrav = 0, nat = 18, ntyp = 4
/
ATOMIC_SPECIES
Cl 35.45 Cl.upf
K 39.10 K.upf
Pa 231.04 Pa.upf
In 114.82 In.upf
CELL_PARAMETERS angstrom
-4.9590 -5.3944 -2.5125
5.1512 -1.7430 5.5164
-8.3627 3.5309 8.9247
ATOMIC_POSITIONS angstrom
Cl -5.4257 -1.9133 11.4441
Cl -6.1285 -2.3797 1.8912
Cl -4.9045 -2.2560 7.7623
Cl -4.0795 1.6359 11.3013
Cl -2.0420 -1.2269 10.0374
Cl -2.7447 -1.6932 0.4846
Cl -3.5515 1.2910 7.6268
Cl -4.6189 -4.8975 4.3019
Cl -4.0909 -5.2424 0.6274
Cl -3.2659 -1.3506 4.1664
Cl -6.9418 0.5974 9.0301
Cl -1.2286 -4.2039 2.8985
K -0.3095 -2.0774 5.0713
K -7.8609 -1.5291 6.8574
Pa -4.4909 -0.3120 9.5337
Pa -3.6796 -3.2946 2.3950
In -4.1813 1.7655 4.4624
In 0.0000 0.0000 0.0000
```

Properties
The electronic total energy is -4.425 eV/atom. The calculation puts the uncorrected formation energy at -1.71 eV/atom. The spin magnetization comes out at 1.009 μB/f.u.

> electronic total energy of number 3 (CePmRu)?

-6.818 eV/atom

> The lowest electronic total energy belongs to which entry?

CePmRu

> Which of these has the highest spin magnetization?

Ce12Zn3N5

> Among the records above, which one has the highest spin magnetization?

Ce12Zn3N5